# RbZn2BBr2O3

RbZn2BBr2O3 after structural relaxation (PBE, OQMD).

Cell lengths 10.0114, 10.0114, 10.0114 Å; angles 29.01, 29.01, 29.01 degrees
Closest atoms and distances in Å follow each position.
Fractional positions:
Rb  0.0000  0.0000  0.0000  6 Br 3.35
Zn  0.1919  0.1919  0.1919  3 O 1.97
Zn  0.8081  0.8081  0.8081  3 O 1.97
B  0.5000  0.5000  0.5000  3 O 1.38
Br  0.2750  0.2750  0.2750  1 Zn 2.39
Br  0.7250  0.7250  0.7250  1 Zn 2.39
O  0.2248  0.5000  0.7752  1 B 1.38
O  0.5000  0.7752  0.2248  1 B 1.38
O  0.7752  0.2248  0.5000  1 B 1.38

Summary:
**VASP energy**: -4.896 eV/atom
**Crystal system**: trigonal


# TmBe6C

TmBe6C after structural relaxation (PBE, OQMD).

Cell lengths 4.8818, 4.8818, 4.8818 Å; angles 62.32, 62.32, 62.32 degrees
Closest atoms and distances in Å follow each position.
Fractional positions:
Tm  0.0000  0.0000  0.0000  18 Be 2.81-3.00
Be  0.0693  0.6202  0.6202  1 C 1.77
Be  0.3798  0.3798  0.9307  1 C 1.77
Be  0.3798  0.9307  0.3798  1 C 1.77
Be  0.6202  0.0693  0.6202  1 C 1.77
Be  0.6202  0.6202  0.0693  1 C 1.77
Be  0.9307  0.3798  0.3798  1 C 1.77
C  0.5000  0.5000  0.5000  6 Be 1.77

Summary:
**VASP energy**: -4.311 eV/atom
**Size of the total moment**: 0.0 μB/cell
**Crystal system**: trigonal


# PaHgNO

PaHgNO after structural relaxation (PBE, OQMD).

Cell lengths 4.2483, 6.3583, 6.2321 Å; angles 90.00, 90.00, 90.00 degrees
Closest atoms and distances in Å follow each position.
Fractional positions:
Pa  0.0000  0.1978  0.0000  2 N 2.12-2.13, 2 O 2.13
Pa  0.0000  0.8022  0.5000  2 N 2.12-2.13, 2 O 2.13
Hg  0.5000  0.3063  0.5174  2 N 2.82, 2 O 3.13-3.14
Hg  0.5000  0.6937  0.0174  2 N 2.82, 2 O 3.13-3.14
N  0.0000  0.0868  0.3209  2 Pa 2.12-2.13
N  0.0000  0.9132  0.8209  2 Pa 2.12-2.13
O  0.5000  0.2012  0.0100  2 Pa 2.13
O  0.5000  0.7988  0.5100  2 Pa 2.13

Summary:
**Size of the total moment**: 0.0 μB/cell
**Crystal system**: orthorhombic
**Polymorph energy (0 for the lowest one)**: 71 meV per atom


# CdAg2SnSe4

CdAg2SnSe4 after structural relaxation (PBE, OQMD).

Cell lengths 6.0854, 6.0854, 7.5628 Å; angles 113.63, 113.63, 90.17 degrees
Closest atoms and distances in Å follow each position.
Fractional positions:
Cd  0.0000  0.0000  0.0000  4 Se 2.70-2.71
Ag  0.2510  0.7560  0.5018  4 Se 2.65-2.66
Ag  0.7560  0.2510  0.5018  4 Se 2.65-2.66
Sn  0.5052  0.5052  0.0018  4 Se 2.60
Se  0.1383  0.1383  0.7549  1 Sn 2.60, 2 Ag 2.65, 1 Cd 2.71
Se  0.3851  0.8704  0.2506  1 Sn 2.60, 2 Ag 2.66, 1 Cd 2.71
Se  0.6178  0.6178  0.7472  1 Sn 2.60, 2 Ag 2.66, 1 Cd 2.70
Se  0.8704  0.3851  0.2506  1 Sn 2.60, 2 Ag 2.66, 1 Cd 2.71

Summary:
**VASP energy**: -3.414 eV/atom
**Crystal system**: monoclinic


# PmTcAsO

PmTcAsO after structural relaxation (PBE, OQMD).

Cell lengths 4.1304, 6.3979, 5.7349 Å; angles 90.00, 90.00, 90.00 degrees
Closest atoms and distances in Å follow each position.
Fractional positions:
Pm  0.0000  0.1695  0.0000  2 O 2.20
Pm  0.0000  0.8305  0.5000  2 O 2.20
Tc  0.5000  0.4584  0.7620  2 O 2.07-2.11
Tc  0.5000  0.5416  0.2620  2 O 2.07-2.11
As  0.0000  0.3223  0.5134  4 Tc 2.66-2.88, 1 Pm 2.96
As  0.0000  0.6777  0.0134  4 Tc 2.66-2.88, 1 Pm 2.96
O  0.5000  0.2711  0.0640  2 Tc 2.07-2.11, 2 Pm 2.20
O  0.5000  0.7289  0.5640  2 Tc 2.07-2.11, 2 Pm 2.20

Summary:
**Size of the total moment**: 0.0 μB/cell
**Crystal system**: orthorhombic
**Polymorph energy (0 for the lowest one)**: 587 meV per atom


# Nd3In3PdAu2

Nd3In3PdAu2 after structural relaxation (PBE, OQMD).

Cell lengths 7.8741, 7.8741, 4.0836 Å; angles 90.00, 90.00, 120.00 degrees
Closest atoms and distances in Å follow each position.
Fractional positions:
Nd  0.0000  0.5911  0.0000  4 Au 3.14, 1 Pd 3.22, 6 In 3.39-3.47
Nd  0.4089  0.4089  0.0000  4 Au 3.14, 1 Pd 3.22, 6 In 3.39-3.47
Nd  0.5911  0.0000  0.0000  4 Au 3.14, 1 Pd 3.22, 6 In 3.39-3.47
In  0.0000  0.2476  0.5000  2 Pd 2.82, 2 Au 3.02
In  0.2476  0.0000  0.5000  2 Pd 2.82, 2 Au 3.02
In  0.7524  0.7524  0.5000  2 Pd 2.82, 2 Au 3.02
Pd  0.0000  0.0000  0.0000  6 In 2.82
Au  0.3333  0.6667  0.5000  3 In 3.02, 6 Nd 3.14
Au  0.6667  0.3333  0.5000  3 In 3.02, 6 Nd 3.14

Summary:
**VASP energy**: -4.573 eV/atom
**Size of the total moment**: 0.0 μB/cell
**Crystal system**: hexagonal


# ZrAs2Os

ZrAs2Os after structural relaxation (PBE, OQMD).

Cell lengths 4.6439, 4.6439, 4.6439 Å; angles 60.00, 60.00, 60.00 degrees
Closest atoms and distances in Å follow each position.
Fractional positions:
Zr  0.0000  0.0000  0.0000  4 Os 2.84, 4 As 2.84
As  0.2500  0.2500  0.2500  4 As 2.84, 4 Zr 2.84
As  0.5000  0.5000  0.5000  4 Os 2.84, 4 As 2.84
Os  0.7500  0.7500  0.7500  4 Zr 2.84, 4 As 2.84

Summary:
**VASP energy**: -7.152 eV/atom
**Size of the total moment**: 0.0 μB/cell
**Crystal system**: cubic


# BaZn2

BaZn2 after structural relaxation (PBE, OQMD).

Cell lengths 4.8509, 11.9752, 5.7618 Å; angles 90.00, 90.00, 90.00 degrees
Closest atoms and distances in Å follow each position.
Fractional positions:
Ba  0.2500  0.0859  0.1762  7 Zn 3.23-3.50
Ba  0.2500  0.4141  0.1762  7 Zn 3.23-3.50
Ba  0.7500  0.5859  0.8238  7 Zn 3.23-3.50
Ba  0.7500  0.9141  0.8238  7 Zn 3.23-3.50
Zn  0.2500  0.2500  0.6736  6 Zn 2.85-2.87
Zn  0.2500  0.6436  0.4737  2 Zn 2.55-2.67
Zn  0.2500  0.7500  0.0656  4 Zn 2.67-2.85
Zn  0.2500  0.8564  0.4737  2 Zn 2.55-2.67
Zn  0.7500  0.1436  0.5263  2 Zn 2.55-2.67
Zn  0.7500  0.2500  0.9344  4 Zn 2.67-2.85
Zn  0.7500  0.3564  0.5263  2 Zn 2.55-2.67
Zn  0.7500  0.7500  0.3264  6 Zn 2.85-2.87

Summary:
**VASP energy**: -1.492 eV/atom
**Crystal system**: orthorhombic


# YPd2Pb

YPd2Pb after structural relaxation (PBE, OQMD).

Cell lengths 3.5847, 3.5847, 6.6674 Å; angles 90.00, 90.00, 90.00 degrees
Closest atoms and distances in Å follow each position.
Fractional positions:
Y  0.0000  0.0000  0.0000  8 Pd 2.97
Pd  0.5000  0.5000  0.2322  4 Y 2.97, 1 Pd 3.10, 4 Pb 3.10
Pd  0.5000  0.5000  0.7678  4 Y 2.97, 1 Pd 3.10, 4 Pb 3.10
Pb  0.0000  0.0000  0.5000  8 Pd 3.10, 2 Y 3.33

Summary:
**VASP energy**: -5.749 eV/atom
**Size of the total moment**: 0.0 μB/cell
**Crystal system**: tetragonal


# Ho3MgCdIn3Ag

Ho3MgCdIn3Ag after structural relaxation (PBE, OQMD).

Cell lengths 8.0736, 8.0736, 3.8805 Å; angles 90.00, 90.00, 120.00 degrees
Closest atoms and distances in Å follow each position.
Fractional positions:
Ho  0.0043  0.3910  0.0000  1 Ag 3.14, 2 Cd 3.14, 2 Mg 3.18, 6 In 3.36-3.43
Ho  0.3867  0.9957  0.0000  1 Ag 3.14, 2 Cd 3.14, 2 Mg 3.18, 6 In 3.36-3.43
Ho  0.6090  0.6133  0.0000  1 Ag 3.14, 2 Cd 3.14, 2 Mg 3.18, 6 In 3.36-3.43
Mg  0.6667  0.3333  0.5000  3 In 2.94, 6 Ho 3.18
Cd  0.3333  0.6667  0.5000  3 In 3.04, 6 Ho 3.14
In  0.2720  0.2631  0.5000  2 Ag 2.90, 1 Mg 2.94, 1 Cd 3.04
In  0.7369  0.0090  0.5000  2 Ag 2.90, 1 Mg 2.94, 1 Cd 3.04
In  0.9910  0.7280  0.5000  2 Ag 2.90, 1 Mg 2.94, 1 Cd 3.04
Ag  0.0000  0.0000  0.0000  6 In 2.90, 3 Ho 3.14

Summary:
**VASP energy**: -3.345 eV/atom
**Size of the total moment**: 0.0 μB/cell
**Crystal system**: hexagonal


Q: Number 1 is which compound?
A: RbZn2BBr2O3